DFT (GGA-PBE) results for a relaxed structure of La5CoCl5.

* theoretical density: 5.1 g/cm3
* total magnetization: 0.000 μB per atom
* Fermi-level density of states: 0.96 states/eV/atom
* raw total energy: -5.225 eV per atom
* uncorrected formation energy: -1500 meV/atom

a = 7.1296 Å, b = 7.1296 Å, c = 8.5295 Å
α = 108.96°, β = 108.96°, γ = 48.94°
Fractional positions:
1 La 0.0000 0.0000 0.0000
2 La 0.3270 0.3270 0.1491
3 La 0.3565 0.3565 0.7150
4 La 0.6435 0.6435 0.2850
5 La 0.6730 0.6730 0.8509
6 Co 0.5000 0.5000 0.0000
7 Cl 0.1533 0.1533 0.8024
8 Cl 0.1691 0.1691 0.3594
9 Cl 0.5000 0.5000 0.5000
10 Cl 0.8309 0.8309 0.6406
11 Cl 0.8467 0.8467 0.1976